Computed, not measured: crystalline KCd2Bi at its relaxed geometry at the GGA-PBE level of DFT.

Cell and atoms, written as POSCAR:
```
KCd2Bi
1.0
-0.770 -4.240 3.123
-2.161 -4.428 -2.010
4.274 -4.839 -0.981
K Bi Cd
1 1 2
Direct
0.000 0.000 0.000
0.500 0.500 0.500
0.212 0.212 0.363
0.788 0.788 0.637
```

Properties
The value obtained for the total magnetic moment is 0.00 μB per cell. Its space group is R-3m, No. 166. The calculation puts the formation enthalpy at 0 K at -0.37 eV/f.u.



Computed, not measured: crystalline K3CdBi at its relaxed geometry at the GGA-PBE level of DFT.

Cell and atoms, written as POSCAR:
```
K3CdBi
1.0
-1.871 7.911 -3.593
-6.752 -3.512 4.591
6.440 0.474 6.108
K Cd Bi
6 2 2
Direct
0.890 0.131 0.647
0.890 0.743 0.259
0.484 0.631 0.741
0.916 0.260 0.156
0.484 0.243 0.353
0.104 0.760 0.844
0.348 0.121 0.727
0.394 0.621 0.273
0.571 0.903 0.168
0.736 0.403 0.832
```

Properties
The value obtained for the total magnetic moment is 0.00 μB per cell. Its space group is Ima2, No. 46. The calculation puts the formation enthalpy at 0 K at -0.90 eV/f.u.



Computed, not measured: crystalline KCdBi2 at its relaxed geometry at the GGA-PBE level of DFT.

Cell and atoms, written as POSCAR:
```
KCdBi2
1.0
-2.585 -4.398 0.532
4.005 -1.994 2.981
-6.614 4.730 6.966
K Cd Bi
2 2 4
Direct
0.750 0.388 0.774
0.250 0.612 0.226
0.750 0.182 0.332
0.250 0.818 0.668
0.750 0.902 0.054
0.250 0.098 0.946
0.750 0.757 0.498
0.250 0.243 0.502
```

Properties
The value obtained for the total magnetic moment is 0.00 μB per cell. Its space group is P2_1/m, No. 11. The calculation puts the formation enthalpy at 0 K at -0.81 eV/f.u.



Computed, not measured: crystalline KCdBi at its relaxed geometry at the GGA-PBE level of DFT.

Cell and atoms, written as POSCAR:
```
KCdBi
1.0
5.453 0.000 0.000
0.000 5.008 0.000
0.000 -2.504 4.337
K Bi Cd
1 1 1
Direct
0.668 0.667 0.333
0.177 0.333 0.667
0.155 0.000 0.000
```

Properties
The value obtained for the total magnetic moment is 0.00 μB per cell. Its space group is P3m1, No. 156. The calculation puts the formation enthalpy at 0 K at -0.88 eV/f.u.



Computed, not measured: crystalline K3Cd4Bi2 at its relaxed geometry at the GGA-PBE level of DFT.

Cell and atoms, written as POSCAR:
```
K3Cd4Bi2
1.0
-1.316 -4.883 -0.569
5.296 -4.230 1.292
-0.017 -3.823 10.082
K Cd Bi
3 4 2
Direct
0.324 0.697 0.656
0.000 0.000 0.000
0.676 0.303 0.344
0.285 0.383 0.047
0.715 0.617 0.953
0.045 0.296 0.614
0.955 0.704 0.386
0.406 0.925 0.264
0.594 0.075 0.736
```

Properties
The value obtained for the total magnetic moment is 0.00 μB per cell. Its space group is C2/m, No. 12. The calculation puts the formation enthalpy at 0 K at -2.15 eV/f.u.



Computed, not measured: crystalline KCdBi2 at its relaxed geometry at the GGA-PBE level of DFT.

Cell and atoms, written as POSCAR:
```
KCdBi2
1.0
5.737 0.000 0.000
0.000 5.737 0.000
2.868 2.868 10.106
K Bi Cd
2 4 2
Direct
0.500 0.500 0.000
0.250 0.750 0.500
0.742 0.125 0.250
0.008 0.625 0.250
0.375 0.258 0.750
0.875 0.992 0.750
0.000 0.000 0.000
0.750 0.250 0.500
```

Properties
The value obtained for the total magnetic moment is 0.00 μB per cell. Its space group is I-42d, No. 122. The calculation puts the formation enthalpy at 0 K at -0.29 eV/f.u.



> Number 5 is which compound?

K3Cd4Bi2



Please write out number 3 again, unchanged.
Computed, not measured: crystalline KCdBi2 at its relaxed geometry at the GGA-PBE level of DFT.

Cell and atoms, written as POSCAR:
```
KCdBi2
1.0
-2.585 -4.398 0.532
4.005 -1.994 2.981
-6.614 4.730 6.966
K Cd Bi
2 2 4
Direct
0.750 0.388 0.774
0.250 0.612 0.226
0.750 0.182 0.332
0.250 0.818 0.668
0.750 0.902 0.054
0.250 0.098 0.946
0.750 0.757 0.498
0.250 0.243 0.502
```

Properties
The value obtained for the total magnetic moment is 0.00 μB per cell. Its space group is P2_1/m, No. 11. The calculation puts the formation enthalpy at 0 K at -0.81 eV/f.u.



> Which formula does entry 5 have?

K3Cd4Bi2



> Which of these has the highest formation enthalpy at 0 K?

number 6